# Li3NbFe3O8

An optimized crystal structure of Li3NbFe3O8 (PBE with a Hubbard U, Alexandria via LeMat-Bulk).

Output
As for the symmetry: R-3m. The total magnetization comes out at 14.0 μB/f.u. Its energy above the most stable polymorph in this dataset is 0.000 eV/f.u.

a b c (Å): 6.0857 6.0857 6.0857
angles (deg): 60.05 60.05 60.05
Positions (direct):
Li 0.0000 0.5000 0.5000
Li 0.5000 0.0000 0.5000
Li 0.5000 0.5000 0.0000
Nb 0.5000 0.5000 0.5000
Fe 0.0000 0.0000 0.5000
Fe 0.0000 0.5000 0.0000
Fe 0.5000 0.0000 0.0000
O 0.2395 0.2395 0.2395
O 0.2570 0.7339 0.7339
O 0.2661 0.2661 0.7430
O 0.2661 0.7430 0.2661
O 0.7339 0.2570 0.7339
O 0.7339 0.7339 0.2570
O 0.7430 0.2661 0.2661
O 0.7605 0.7605 0.7605